The following is a PBE calculation of an optimized crystal structure of Ca2SnGe, from Alexandria.

The structure in extended XYZ format:
```
12
Lattice="3.7707 0.0000 0.0000 -1.8853 3.2655 0.0000 0.0000 0.0000 31.2456" Properties=species:S:1:pos:R:3 pbc="T T T"
Ca 0.0000 0.0000 3.1620
Ca 0.0000 0.0000 28.0835
Ca 0.0000 2.1770 17.6684
Ca 0.0000 2.1770 23.9924
Ca 1.8853 1.0885 7.2532
Ca 1.8853 1.0885 13.5772
Sn 0.0000 0.0000 0.0000
Sn 0.0000 2.1770 20.8304
Sn 1.8853 1.0885 10.4152
Ge 0.0000 0.0000 15.6228
Ge 0.0000 2.1770 5.2076
Ge 1.8853 1.0885 26.0380
```

The raw total energy is -3.276 eV per atom. The value obtained for the density of states at the Fermi level is 1.25 states/eV/atom. The calculation puts the volume at 32.1 A^3/atom. Its total magnetization is 0.000 μB/atom. The space group is R-3m (166). The value obtained for the formation energy from the elements is -2.8 kcal/mol of atoms.



The following is a PBE calculation of an optimized crystal structure of TaAgP2, from Alexandria.

The structure in extended XYZ format:
```
12
Lattice="3.1965 0.0000 0.0000 -1.5983 2.7683 0.0000 0.0000 0.0000 23.7111" Properties=species:S:1:pos:R:3 pbc="T T T"
Ta 0.0000 0.0000 0.0000
Ta 0.0000 1.8455 15.8074
Ta 1.5983 0.9228 7.9037
Ag 0.0000 0.0000 11.8556
Ag 0.0000 1.8455 3.9519
Ag 1.5983 0.9228 19.7592
P 0.0000 0.0000 6.1714
P 0.0000 0.0000 17.5397
P 0.0000 1.8455 9.6360
P 0.0000 1.8455 21.9788
P 1.5983 0.9228 1.7323
P 1.5983 0.9228 14.0751
```

The raw total energy is -6.509 eV per atom. The value obtained for the density of states at the Fermi level is 0.20 states/eV/atom. The calculation puts the volume at 17.5 A^3/atom. Its total magnetization is 0.000 μB/atom. The space group is R-3m (166). The value obtained for the formation energy from the elements is -3.0 kcal/mol of atoms.



The following is a PBE calculation of an optimized crystal structure of Sr6ZnAg, from Alexandria.

The structure in extended XYZ format:
```
16
Lattice="5.6995 0.0000 0.0000 0.0000 5.6995 0.0000 0.0000 0.0000 20.6326" Properties=species:S:1:pos:R:3 pbc="T T T"
Sr 0.0000 0.0000 5.1516
Sr 0.0000 0.0000 15.4810
Sr 0.0000 2.8497 1.8913
Sr 0.0000 2.8497 8.4250
Sr 0.0000 2.8497 12.2076
Sr 0.0000 2.8497 18.7414
Sr 2.8497 0.0000 1.8913
Sr 2.8497 0.0000 8.4250
Sr 2.8497 0.0000 12.2076
Sr 2.8497 0.0000 18.7414
Sr 2.8497 2.8497 5.1647
Sr 2.8497 2.8497 15.4679
Zn 0.0000 0.0000 0.0000
Zn 2.8497 2.8497 10.3163
Ag 0.0000 0.0000 10.3163
Ag 2.8497 2.8497 0.0000
```

The raw total energy is -1.887 eV per atom. The value obtained for the density of states at the Fermi level is 1.00 states/eV/atom. The calculation puts the volume at 41.9 A^3/atom. Its total magnetization is 0.000 μB/atom. The space group is I4/mmm (139). The value obtained for the formation energy from the elements is -2.5 kcal/mol of atoms.



The following is a PBE calculation of an optimized crystal structure of Ca7TlN4, from Alexandria.

The structure in extended XYZ format:
```
24
Lattice="11.6993 0.0000 0.0000 0.0000 12.0824 0.0000 0.0000 0.0000 3.6311" Properties=species:S:1:pos:R:3 pbc="T T T"
Ca 0.0000 0.0000 0.0020
Ca 0.2786 2.8169 1.8176
Ca 2.7187 9.9757 0.0011
Ca 2.7224 0.8264 1.8168
Ca 3.1272 6.8676 1.8143
Ca 3.1310 3.9345 3.6301
Ca 5.5711 8.8581 1.8136
Ca 5.8496 6.0412 3.6291
Ca 6.1282 3.2243 1.8136
Ca 8.5683 8.1479 3.6301
Ca 8.5721 5.2148 1.8143
Ca 8.9769 11.2560 1.8168
Ca 8.9806 2.1067 0.0011
Ca 11.4207 9.2655 1.8176
Tl 0.0000 6.0412 0.0090
Tl 5.8496 0.0000 3.6221
N 1.5008 10.8367 1.8170
N 1.6694 2.0097 0.0018
N 4.1802 8.0509 3.6293
N 4.3488 4.7955 1.8141
N 7.3505 7.2869 1.8141
N 7.5191 4.0315 3.6293
N 10.0298 10.0727 0.0018
N 10.1985 1.2457 1.8170
```

The raw total energy is -4.899 eV per atom. The value obtained for the density of states at the Fermi level is 0.33 states/eV/atom. The calculation puts the volume at 21.4 A^3/atom. The value obtained for the raw formation energy is -0.759 eV/atom. Its total magnetization is 0.000 μB/atom. The space group is P2_12_12 (18).



The following is a PBE calculation of an optimized crystal structure of SmDyAg, from Alexandria.

The structure in extended XYZ format:
```
12
Lattice="7.1778 0.0000 0.0000 0.0000 7.1778 0.0000 0.0000 0.0000 7.1778" Properties=species:S:1:pos:R:3 pbc="T T T"
Sm 0.0000 0.0000 0.0000
Sm 0.0000 3.5889 3.5889
Sm 3.5889 0.0000 3.5889
Sm 3.5889 3.5889 0.0000
Dy 0.0000 0.0000 3.5889
Dy 0.0000 3.5889 0.0000
Dy 3.5889 0.0000 0.0000
Dy 3.5889 3.5889 3.5889
Ag 1.7944 1.7944 1.7944
Ag 1.7944 5.3833 5.3833
Ag 5.3833 1.7944 5.3833
Ag 5.3833 5.3833 1.7944
```

The raw total energy is -3.990 eV per atom. The value obtained for the density of states at the Fermi level is 1.54 states/eV/atom. The calculation puts the volume at 30.8 A^3/atom. Its total magnetization is 0.001 μB/atom. The space group is F-43m (216). The value obtained for the formation energy from the elements is 1.5 kcal/mol of atoms.



The following is a PBE calculation of an optimized crystal structure of Nd2Ag2Hg3, from Alexandria.

The structure in extended XYZ format:
```
14
Lattice="10.4837 0.0000 0.0000 0.0000 4.7800 0.0000 -2.0680 0.0000 6.8795" Properties=species:S:1:pos:R:3 pbc="T T T"
Nd 0.8349 0.0000 1.7843
Nd 2.3390 2.3900 5.0952
Nd 6.0767 2.3900 1.7843
Nd 7.5809 0.0000 5.0952
Ag -0.7731 2.3900 6.3581
Ag 3.9469 0.0000 0.5214
Ag 4.4688 0.0000 6.3581
Ag 9.1888 2.3900 0.5214
Hg -1.0340 2.3900 3.4398
Hg 0.3215 0.0000 4.9556
Hg 2.8524 2.3900 1.9239
Hg 4.2079 0.0000 3.4398
Hg 5.5634 2.3900 4.9556
Hg 8.0942 0.0000 1.9239
```

The raw total energy is -2.634 eV per atom. The value obtained for the density of states at the Fermi level is 0.60 states/eV/atom. The calculation puts the volume at 24.6 A^3/atom. Its total magnetization is 0.000 μB/atom. The space group is C2/m (12). The value obtained for the formation energy from the elements is -7.6 kcal/mol of atoms.



The following is a PBE calculation of an optimized crystal structure of NdScGaPd, from Alexandria.

The structure in extended XYZ format:
```
16
Lattice="7.0396 0.0000 0.0000 0.0000 7.0396 0.0000 0.0000 0.0000 7.0396" Properties=species:S:1:pos:R:3 pbc="T T T"
Nd 0.0000 0.0000 0.0000
Nd 0.0000 3.5198 3.5198
Nd 3.5198 0.0000 3.5198
Nd 3.5198 3.5198 0.0000
Sc 0.0000 0.0000 3.5198
Sc 0.0000 3.5198 0.0000
Sc 3.5198 0.0000 0.0000
Sc 3.5198 3.5198 3.5198
Ga 1.7599 1.7599 1.7599
Ga 1.7599 5.2797 5.2797
Ga 5.2797 1.7599 5.2797
Ga 5.2797 5.2797 1.7599
Pd 1.7599 1.7599 5.2797
Pd 1.7599 5.2797 1.7599
Pd 5.2797 1.7599 1.7599
Pd 5.2797 5.2797 5.2797
```

The raw total energy is -5.451 eV per atom. The value obtained for the density of states at the Fermi level is 0.67 states/eV/atom. The calculation puts the volume at 21.8 A^3/atom. Its total magnetization is 0.000 μB/atom. The space group is F-43m (216). The value obtained for the formation energy from the elements is -14.3 kcal/mol of atoms.



The following is a PBE calculation of an optimized crystal structure of Pr3Y12Th, from Alexandria.

The structure in extended XYZ format:
```
16
Lattice="5.0917 0.0000 0.0000 0.0000 5.0917 0.0000 0.0000 0.0000 20.3853" Properties=species:S:1:pos:R:3 pbc="T T T"
Pr 0.0000 0.0000 0.0000
Pr 0.0000 0.0000 5.1223
Pr 0.0000 0.0000 15.2630
Y 0.0000 2.5459 2.5652
Y 0.0000 2.5459 7.7133
Y 0.0000 2.5459 12.6720
Y 0.0000 2.5459 17.8200
Y 2.5459 0.0000 2.5652
Y 2.5459 0.0000 7.7133
Y 2.5459 0.0000 12.6720
Y 2.5459 0.0000 17.8200
Y 2.5459 2.5459 0.0000
Y 2.5459 2.5459 5.1156
Y 2.5459 2.5459 10.1926
Y 2.5459 2.5459 15.2696
Th 0.0000 0.0000 10.1926
```

The raw total energy is -6.182 eV per atom. The value obtained for the density of states at the Fermi level is 1.62 states/eV/atom. The calculation puts the volume at 33.0 A^3/atom. Its total magnetization is 0.000 μB/atom. The space group is P4/mmm (123). The value obtained for the formation energy from the elements is 0.6 kcal/mol of atoms.